(1)
# Dy5Y2Tm12 | Alexandria | GGA-PBE | relaxed
data_Dy5Y2Tm12
_chemical_formula_sum 'Dy5 Y2 Tm12'
_symmetry_space_group_name_H-M 'P 1'
_symmetry_Int_Tables_number 1
_symmetry_space_group_name_Hall 'P 1'
_cell_length_a 6.0816
_cell_length_b 9.2932
_cell_length_c 10.5332
_cell_angle_alpha 100.99
_cell_angle_beta 95.61
_cell_angle_gamma 90.08
loop_
_atom_site_label
_atom_site_type_symbol
_atom_site_fract_x
_atom_site_fract_y
_atom_site_fract_z
Dy1 Dy 0.0000 0.0000 0.0000
Dy2 Dy 0.1581 0.6320 0.9475
Dy3 Dy 0.2614 0.0531 0.5791
Dy4 Dy 0.7386 0.9469 0.4209
Dy5 Dy 0.8419 0.3680 0.0525
Y1 Y 0.4206 0.6843 0.5263
Y2 Y 0.5794 0.3157 0.4737
Tm1 Tm 0.0533 0.2110 0.3152
Tm2 Tm 0.1036 0.4214 0.6324
Tm3 Tm 0.2113 0.8427 0.2624
Tm4 Tm 0.3156 0.2631 0.8946
Tm5 Tm 0.3687 0.4735 0.2090
Tm6 Tm 0.4736 0.8949 0.8431
Tm7 Tm 0.5264 0.1051 0.1569
Tm8 Tm 0.6313 0.5265 0.7910
Tm9 Tm 0.6844 0.7369 0.1054
Tm10 Tm 0.7887 0.1573 0.7376
Tm11 Tm 0.8964 0.5786 0.3676
Tm12 Tm 0.9467 0.7890 0.6848
# DOS(E_F): 26.8 states/eV/f.u.
# relative energy among the computed polymorphs: 0.00 eV/f.u.
# M_tot: 0.00 μB/cell
# SG: P-1


(2)
# DyY7Tm3 | Alexandria | GGA-PBE | relaxed
data_DyY7Tm3
_chemical_formula_sum 'Dy1 Y7 Tm3'
_symmetry_space_group_name_H-M 'P 1'
_symmetry_Int_Tables_number 1
_symmetry_space_group_name_Hall 'P 1'
_cell_length_a 6.9222
_cell_length_b 5.5214
_cell_length_c 9.9217
_cell_angle_alpha 90.00
_cell_angle_beta 109.91
_cell_angle_gamma 90.00
loop_
_atom_site_label
_atom_site_type_symbol
_atom_site_fract_x
_atom_site_fract_y
_atom_site_fract_z
Dy1 Dy 0.0000 0.0000 0.0000
Y1 Y 0.0000 0.0000 0.5000
Y2 Y 0.1462 0.5000 0.7897
Y3 Y 0.3211 0.5000 0.1394
Y4 Y 0.4197 0.0000 0.3310
Y5 Y 0.5803 0.0000 0.6690
Y6 Y 0.6789 0.5000 0.8606
Y7 Y 0.8538 0.5000 0.2103
Tm1 Tm 0.2778 0.5000 0.4982
Tm2 Tm 0.5000 0.0000 0.0000
Tm3 Tm 0.7222 0.5000 0.5018
# DOS(E_F): 19.7 states/eV/f.u.
# relative energy among the computed polymorphs: 0.00 eV/f.u.
# M_tot: 0.00 μB/cell
# SG: P2/m